# PmScTaIr2 PBE relaxed
data_PmScTaIr2
_chemical_formula_sum 'Pm1 Sc1 Ta1 Ir2'
_symmetry_space_group_name_H-M 'P 1'
_symmetry_Int_Tables_number 1
_cell_length_a 6.2719
_cell_length_b 6.2719
_cell_length_c 6.2719
_cell_angle_alpha 138.74
_cell_angle_beta 138.74
_cell_angle_gamma 59.78
loop_
_symmetry_equiv_pos_as_xyz
'x,y,z'
loop_
_atom_site_label
_atom_site_type_symbol
_atom_site_fract_x
_atom_site_fract_y
_atom_site_fract_z
Pm1 Pm 0.0000 0.0000 0.0000
Sc1 Sc 0.7500 0.2500 0.5000
Ta1 Ta 0.2500 0.7500 0.5000
Ir1 Ir 0.3807 0.3807 0.0000
Ir2 Ir 0.6193 0.6193 0.0000
# **Crystal system**: tetragonal
# **Calculated formation energy**: -0.70 eV/atom
# **SG**: I-4m2